This record from Alexandria via LeMat-Bulk describes a relaxed structure of Ta2NiTe. The functional is PBE.

Results
E = -7.95 eV/atom
Size of the total moment = 0.000 μB/f.u.
Symmetry = No. 10
ΔE_f (raw) = 0.205 eV/atom

a b c (Å): 3.721 3.232 6.321
angles (deg): 68.47 90.00 90.00
Sites, in units of the cell vectors:
Ta1 0.000 0.512 0.531
Te1 0.500 0.250 0.250
Ta2 0.000 0.988 0.969
Ni1 0.500 0.750 0.750